(1)
Below is Ta2ReW after structural relaxation, with properties calculated at the PBEsol level.

```
data_Ta2ReW
_space_group_name_H-M_alt 'F m -3 m'
_space_group_IT_number 225
_space_group_name_Hall '-F 4 2 3'
_cell_length_a 6.376
_cell_length_b 6.376
_cell_length_c 6.376
_cell_angle_alpha 90.00
_cell_angle_beta 90.00
_cell_angle_gamma 90.00
loop_
_atom_site_label
_atom_site_type_symbol
_atom_site_fract_x
_atom_site_fract_y
_atom_site_fract_z
_atom_site_occupancy
Ta1 Ta 0.250 0.250 0.250 1
Re1 Re 0.000 0.000 0.000 1
W1 W 0.000 0.000 0.500 1
```

## Properties
Theoretical density: 18.76 g/cm³
Crystal system: cubic
Volume: 259.1 Å³/cell
Electronic total energy: -13.34 eV/atom


(2)
Below is La2FeSb after structural relaxation, with properties calculated at the PBEsol level.

```
data_La2FeSb
_space_group_name_H-M_alt 'R -3 m'
_space_group_IT_number 166
_space_group_name_Hall '-R 3 2"'
_cell_length_a 4.2649
_cell_length_b 4.2649
_cell_length_c 21.7810
_cell_angle_alpha 90.00
_cell_angle_beta 90.00
_cell_angle_gamma 120.00
loop_
_atom_site_label
_atom_site_type_symbol
_atom_site_fract_x
_atom_site_fract_y
_atom_site_fract_z
_atom_site_occupancy
La1 La 0.0000 0.0000 0.2411 1
Fe1 Fe 0.0000 0.0000 0.5000 1
Sb1 Sb 0.0000 0.0000 0.0000 1
```

## Properties
Theoretical density: 6.61 g/cm³
Crystal system: trigonal
Volume: 343.1 Å³/cell
Electronic total energy: -6.16 eV/atom


(3)
Below is K3NiAu after structural relaxation, with properties calculated at the PBEsol level.

```
data_K3NiAu
_space_group_name_H-M_alt 'P m -3 m'
_space_group_IT_number 221
_space_group_name_Hall '-P 4 2 3'
_cell_length_a 6.081
_cell_length_b 6.081
_cell_length_c 6.081
_cell_angle_alpha 90.00
_cell_angle_beta 90.00
_cell_angle_gamma 90.00
loop_
_atom_site_label
_atom_site_type_symbol
_atom_site_fract_x
_atom_site_fract_y
_atom_site_fract_z
_atom_site_occupancy
K1 K 0.000 0.000 0.500 1
Ni1 Ni 0.500 0.500 0.500 1
Au1 Au 0.000 0.000 0.000 1
```

## Properties
Theoretical density: 2.75 g/cm³
Crystal system: cubic
Volume: 224.9 Å³/cell
Electronic total energy: -2.06 eV/atom


Number 1: total moment 0.00 μB/cell. Number 2: total moment 4.09 μB/cell. Number 3: total moment 0.39 μB/cell.